Run w
SiHg2Se | PBEsol | relaxed Values from VASP.

Values from the calculation:
As for the space group: Immm (71). The calculation puts the magnetization at 0.00 μB/atom. The calculation puts the density of states at the Fermi level at 0.43 states/eV per atom. The calculation puts the calculated volume at 87.8 Å³/f.u.

Structure (Quantum ESPRESSO input):
```
&SYSTEM
  ibrav = 0, nat = 4, ntyp = 3
/
ATOMIC_SPECIES
Se 78.96 Se.upf
Si 28.09 Si.upf
Hg 200.59 Hg.upf
CELL_PARAMETERS angstrom
-0.686 -2.799 0.154
4.492 -1.117 -0.288
-1.423 2.201 6.606
ATOMIC_POSITIONS angstrom
Se -0.343 -1.400 0.077
Si 2.246 -0.559 -0.144
Hg 0.295 0.149 4.021
Hg 2.087 -1.865 2.451
```

---

Run x
SiHg2Se | PBEsol | relaxed Values from VASP.

Values from the calculation:
As for the space group: Pm (6). The calculation puts the magnetization at 0.00 μB/atom. The calculation puts the density of states at the Fermi level at 0.27 states/eV per atom. The calculation puts the calculated volume at 87.8 Å³/f.u.

Structure (Quantum ESPRESSO input):
```
&SYSTEM
  ibrav = 0, nat = 4, ntyp = 3
/
ATOMIC_SPECIES
Se 78.96 Se.upf
Si 28.09 Si.upf
Hg 200.59 Hg.upf
CELL_PARAMETERS angstrom
2.780 0.000 -0.064
0.000 3.539 0.000
-1.276 0.000 8.952
ATOMIC_POSITIONS angstrom
Se 0.587 0.000 4.071
Si 0.550 1.769 2.366
Hg 0.621 1.769 6.739
Hg 0.498 0.000 0.155
```

---

Stability, lowest: run w

---

Run w
HgTeSe2 | PBEsol | relaxed Values from VASP.

Values from the calculation:
As for the space group: I-42d (122). The calculation puts the magnetization at 0.00 μB/atom. The calculation puts the density of states at the Fermi level at 0.35 states/eV per atom. The calculation puts the calculated volume at 118.7 Å³/f.u.

Structure (Quantum ESPRESSO input):
```
&SYSTEM
  ibrav = 0, nat = 8, ntyp = 3
/
ATOMIC_SPECIES
Se 78.96 Se.upf
Te 127.60 Te.upf
Hg 200.59 Hg.upf
CELL_PARAMETERS angstrom
5.470 0.000 0.000
0.000 5.470 0.000
-2.735 -2.735 7.938
ATOMIC_POSITIONS angstrom
Se -1.367 -1.348 5.954
Se 4.083 1.367 1.985
Se 1.367 1.348 5.954
Se 1.387 4.102 1.985
Te 2.735 2.735 0.000
Te 2.735 0.000 3.969
Hg 0.000 0.000 0.000
Hg 0.000 2.735 3.969
```

---

Run x
HgTeSe2 | PBEsol | relaxed Values from VASP.

Values from the calculation:
As for the space group: P4/mmm (123). The calculation puts the magnetization at 0.00 μB/atom. The calculation puts the density of states at the Fermi level at 0.57 states/eV per atom. The calculation puts the calculated volume at 98.4 Å³/f.u.

Structure (Quantum ESPRESSO input):
```
&SYSTEM
  ibrav = 0, nat = 4, ntyp = 3
/
ATOMIC_SPECIES
Se 78.96 Se.upf
Hg 200.59 Hg.upf
Te 127.60 Te.upf
CELL_PARAMETERS angstrom
-3.775 -0.264 1.751
-0.924 -3.223 -2.480
2.049 -3.572 3.878
ATOMIC_POSITIONS angstrom
Se -2.350 -1.743 -0.364
Se 1.024 -1.786 1.939
Hg -1.326 -3.529 1.575
Te 0.000 0.000 0.000
```

---

Stability, lowest: run w

---

Run w
Hg2TeSe | PBEsol | relaxed Values from VASP.

Values from the calculation:
As for the space group: I-42d (122). The calculation puts the magnetization at 0.00 μB/atom. The calculation puts the density of states at the Fermi level at 0.08 states/eV per atom. The calculation puts the calculated volume at 126.2 Å³/f.u.

Structure (Quantum ESPRESSO input):
```
&SYSTEM
  ibrav = 0, nat = 8, ntyp = 3
/
ATOMIC_SPECIES
Te 127.60 Te.upf
Hg 200.59 Hg.upf
Se 78.96 Se.upf
CELL_PARAMETERS angstrom
-0.197 -3.264 5.411
4.794 -3.603 -1.999
1.813 7.470 0.878
ATOMIC_POSITIONS angstrom
Te 4.453 0.216 0.293
Te 0.000 0.000 0.000
Hg 4.143 1.378 2.829
Hg 2.082 -2.279 4.103
Hg 4.570 -2.570 0.601
Hg 2.024 4.677 1.048
Se 1.957 0.386 3.997
Se 2.298 -3.434 1.706
```

---

Run x
Hg2TeSe | PBEsol | relaxed Values from VASP.

Values from the calculation:
As for the space group: R3m (160). The calculation puts the magnetization at 0.00 μB/atom. The calculation puts the density of states at the Fermi level at 0.06 states/eV per atom. The calculation puts the calculated volume at 126.5 Å³/f.u.

Structure (Quantum ESPRESSO input):
```
&SYSTEM
  ibrav = 0, nat = 4, ntyp = 3
/
ATOMIC_SPECIES
Se 78.96 Se.upf
Te 127.60 Te.upf
Hg 200.59 Hg.upf
CELL_PARAMETERS angstrom
-1.602 -3.660 -2.011
2.105 -1.697 -3.563
4.224 -5.974 2.533
ATOMIC_POSITIONS angstrom
Se 2.031 -6.935 -3.920
Te 3.873 -7.225 0.114
Hg 0.560 -5.416 -5.512
Hg 2.310 -5.611 -1.578
```

---

Run y
Hg2TeSe | PBEsol | relaxed Values from VASP.

Values from the calculation:
As for the space group: P4/mmm (123). The calculation puts the magnetization at 0.00 μB/atom. The calculation puts the density of states at the Fermi level at 0.82 states/eV per atom. The calculation puts the calculated volume at 97.5 Å³/f.u.

Structure (Quantum ESPRESSO input):
```
&SYSTEM
  ibrav = 0, nat = 4, ntyp = 3
/
ATOMIC_SPECIES
Se 78.96 Se.upf
Hg 200.59 Hg.upf
Te 127.60 Te.upf
CELL_PARAMETERS angstrom
-3.460 1.207 1.756
-1.851 -3.362 -1.336
1.535 -2.815 4.959
ATOMIC_POSITIONS angstrom
Se -2.655 -1.078 0.210
Hg 1.161 -2.130 3.753
Hg 0.373 -0.685 1.206
Te -1.888 -2.485 2.690
```

---

Run z
Hg2TeSe | PBEsol | relaxed Values from VASP.

Values from the calculation:
As for the space group: Pm (6). The calculation puts the magnetization at 0.00 μB/atom. The calculation puts the density of states at the Fermi level at 0.48 states/eV per atom. The calculation puts the calculated volume at 99.5 Å³/f.u.

Structure (Quantum ESPRESSO input):
```
&SYSTEM
  ibrav = 0, nat = 4, ntyp = 3
/
ATOMIC_SPECIES
Te 127.60 Te.upf
Hg 200.59 Hg.upf
Se 78.96 Se.upf
CELL_PARAMETERS angstrom
2.910 0.000 -0.117
0.000 4.106 0.000
-1.164 0.000 8.376
ATOMIC_POSITIONS angstrom
Te 2.438 2.053 1.963
Hg 1.217 0.000 8.102
Hg -0.347 2.053 6.306
Se -0.396 0.000 4.333
```

---

Stability, lowest: run y

---

Run w
Tl2HgSe | PBEsol | relaxed Values from VASP.

Values from the calculation:
As for the space group: Fm-3m (225). The calculation puts the magnetization at 0.00 μB/atom. The calculation puts the density of states at the Fermi level at 0.17 states/eV per atom. The calculation puts the calculated volume at 107.4 Å³/f.u.

Structure (Quantum ESPRESSO input):
```
&SYSTEM
  ibrav = 0, nat = 4, ntyp = 3
/
ATOMIC_SPECIES
Se 78.96 Se.upf
Hg 200.59 Hg.upf
Tl 204.38 Tl.upf
CELL_PARAMETERS angstrom
-2.610 2.475 3.942
-3.893 -2.535 2.626
0.746 -1.519 5.061
ATOMIC_POSITIONS angstrom
Se -2.878 -0.789 5.814
Hg 0.000 0.000 0.000
Tl -1.439 -0.395 2.907
Tl -4.317 -1.184 8.721
```

---

Run x
Tl2HgSe | PBEsol | relaxed Values from VASP.

Values from the calculation:
As for the space group: R-3m (166). The calculation puts the magnetization at 0.00 μB/atom. The calculation puts the density of states at the Fermi level at 0.21 states/eV per atom. The calculation puts the calculated volume at 116.6 Å³/f.u.

Structure (Quantum ESPRESSO input):
```
&SYSTEM
  ibrav = 0, nat = 4, ntyp = 3
/
ATOMIC_SPECIES
Tl 204.38 Tl.upf
Se 78.96 Se.upf
Hg 200.59 Hg.upf
CELL_PARAMETERS angstrom
-3.176 2.609 -1.658
-0.548 0.309 -4.387
-5.646 -4.273 -1.834
ATOMIC_POSITIONS angstrom
Tl -2.255 -0.235 -1.974
Tl -7.115 -1.120 -5.906
Se 0.000 0.000 0.000
Hg -4.685 -0.677 -3.940
```

---

Stability, lowest: run w